(1)
Below is an optimized crystal structure of Al2CoCl2, with properties calculated at the GGA-PBE level.

Spin magnetization, μB/cell: 2.130
Theoretical density, Mg/m³: 2.7
E_form (uncorrected), eV per atom: 0.28
DOS(E_F), states/eV per cell: 7.06
E_tot, eV/atom: -3.38

Cell lengths 5.585, 5.585, 7.148 Å; angles 90.00, 90.00, 90.00 degrees
Space group I4/mmm (No. 139)
One atom of each set of equivalent atoms:
Al1 0.000 0.500 0.250 x4
Co1 0.000 0.000 0.000 x2
Cl1 0.000 0.000 0.297 x4

(2)
Below is an optimized crystal structure of Al2CoCl, with properties calculated at the GGA-PBE level.

Spin magnetization, μB/cell: 0.001
Theoretical density, Mg/m³: 3.5
E_form (uncorrected), eV per atom: -0.11
DOS(E_F), states/eV per cell: 1.60
E_tot, eV/atom: -4.22

Cell lengths 3.048, 3.048, 7.500 Å; angles 90.00, 90.00, 90.00 degrees
Space group P4mm (No. 99)
One atom of each set of equivalent atoms:
Al1 0.000 0.000 0.000 x1
Al2 0.500 0.500 0.437 x1
Co1 0.500 0.500 0.137 x1
Cl1 0.000 0.000 0.665 x1

(3)
Below is an optimized crystal structure of AlCo2Cl, with properties calculated at the GGA-PBE level.

Spin magnetization, μB/cell: 2.321
Theoretical density, Mg/m³: 5.1
E_form (uncorrected), eV per atom: -0.03
DOS(E_F), states/eV per cell: 5.17
E_tot, eV/atom: -4.98

Cell lengths 2.952, 3.178, 6.225 Å; angles 90.00, 90.00, 90.00 degrees
Space group Pmmm (No. 47)
One atom of each set of equivalent atoms:
Al1 0.000 0.000 0.000 x1
Co1 0.500 0.500 0.195 x2
Cl1 0.000 0.500 0.500 x1

(4)
Below is an optimized crystal structure of Al2CoCl, with properties calculated at the GGA-PBE level.

Spin magnetization, μB/cell: 1.599
Theoretical density, Mg/m³: 3.8
E_form (uncorrected), eV per atom: 0.31
DOS(E_F), states/eV per cell: 4.66
E_tot, eV/atom: -3.80

Cell lengths 2.838, 4.757, 4.788 Å; angles 90.00, 90.00, 90.00 degrees
Space group Pmmm (No. 47)
One atom of each set of equivalent atoms:
Al1 0.000 0.000 0.000 x1
Al2 0.500 0.000 0.500 x1
Co1 0.000 0.500 0.500 x1
Cl1 0.500 0.500 0.000 x1

(5)
Below is an optimized crystal structure of AlCo2Cl, with properties calculated at the GGA-PBE level.

Spin magnetization, μB/cell: 5.515
Theoretical density, Mg/m³: 5.5
E_form (uncorrected), eV per atom: 0.37
DOS(E_F), states/eV per cell: 9.90
E_tot, eV/atom: -4.58

Cell lengths 5.280, 8.326, 2.903 Å; angles 90.00, 120.79, 90.00 degrees
Space group C2/m (No. 12)
One atom of each set of equivalent atoms:
Al1 0.000 0.000 0.000 x2
Co1 0.250 0.250 0.500 x4
Cl1 0.000 0.500 0.000 x2

(6)
Below is an optimized crystal structure of AlCo3Cl, with properties calculated at the GGA-PBE level.

Spin magnetization, μB/cell: 4.292
Theoretical density, Mg/m³: 4.5
E_form (uncorrected), eV per atom: 1.14
DOS(E_F), states/eV per cell: 6.12
E_tot, eV/atom: -4.24

Cell lengths 4.449, 4.449, 4.449 Å; angles 90.00, 90.00, 90.00 degrees
Space group Pm-3m (No. 221)
One atom of each set of equivalent atoms:
Al1 0.000 0.000 0.000 x1
Co1 0.000 0.000 0.500 x3
Cl1 0.500 0.500 0.500 x1